The following is a PBE calculation of a relaxed structure of P2SeS, from Alexandria.

Values from the calculation:
calculated density = 3534 kg/m³
crystal system = tetragonal
E above lowest polymorph = 0.00 eV per formula unit
M_tot = 0.000 μB/f.u.

a = 5.985 Å, b = 5.985 Å, c = 5.985 Å
α = 113.73°, β = 113.73°, γ = 101.26°
Positions (direct):
P 0.109 0.625 0.984
P 0.375 0.359 0.484
P 0.641 0.125 0.016
P 0.875 0.891 0.516
Se 0.250 0.750 0.500
Se 0.500 0.500 0.000
S 0.000 0.000 0.000
S 0.750 0.250 0.500